Computed, not measured: a geometry-optimized AlV6Ge structure at the PBEsol level of DFT.

abc: 4.7186 4.7186 4.7186
angles: 90.00 90.00 90.00
Positions (direct):
V 0.7519 0.0000 0.5000
V 0.5000 0.2481 0.0000
V 0.0000 0.5000 0.2481
V 0.5000 0.7519 0.0000
V 0.0000 0.5000 0.7519
Al 0.5000 0.5000 0.5000
Ge 0.0000 0.0000 0.0000
V 0.2481 0.0000 0.5000

Summary:
The energy relative to the elements is -0.253 eV/atom. The space group is Pm-3 (200). The energy comes out at -8.61 eV per atom. For the density of states at the Fermi level, the calculation gives 1.895 states/eV/atom.